Record 1
! KZnF3 GGA-PBE relaxed; values from VASP
&SYSTEM
  ibrav = 0, nat = 10, ntyp = 3
/
ATOMIC_SPECIES
Zn 65.41 Zn.upf
K 39.10 K.upf
F 19.00 F.upf
CELL_PARAMETERS angstrom
3.931 0.000 0.680
0.000 6.301 0.000
-0.978 0.000 5.597
ATOMIC_POSITIONS crystal
Zn 0.000 0.250 0.499
Zn 0.000 0.750 0.501
K 0.500 0.250 0.999
K 0.500 0.750 0.001
F 0.999 0.000 0.250
F 0.001 0.000 0.750
F 0.999 0.500 0.250
F 0.001 0.500 0.750
F 0.500 0.250 0.499
F 0.500 0.750 0.501
! **Crystal system**: monoclinic
! **E**: -4.0789 eV/atom
! **Space-group type**: No. 11
! **Total moment**: 0.00 μB/cell
! **DOS at the Fermi energy**: 0.000 states/eV/atom

***

Record 2
! K12Zn3F5 GGA-PBE relaxed; values from VASP
&SYSTEM
  ibrav = 0, nat = 80, ntyp = 3
/
ATOMIC_SPECIES
Zn 65.41 Zn.upf
F 19.00 F.upf
K 39.10 K.upf
CELL_PARAMETERS angstrom
-12.818 -8.489 -2.222
2.534 1.661 15.236
-1.863 13.987 -6.495
ATOMIC_POSITIONS crystal
Zn 0.750 0.375 0.125
Zn 0.875 0.750 0.125
Zn 0.375 0.750 0.625
Zn 0.250 0.125 0.375
Zn 0.875 0.125 0.250
Zn 0.375 0.625 0.250
Zn 0.625 0.375 0.750
Zn 0.125 0.875 0.750
Zn 0.750 0.875 0.625
Zn 0.625 0.250 0.375
Zn 0.125 0.250 0.875
Zn 0.250 0.625 0.875
F 0.125 0.375 0.250
F 0.000 0.500 0.000
F 0.000 0.000 0.000
F 0.375 0.250 0.125
F 0.500 0.000 0.500
F 0.500 0.500 0.000
F 0.125 0.750 0.375
F 0.750 0.125 0.875
F 0.750 0.625 0.375
F 0.375 0.125 0.750
F 0.625 0.875 0.250
F 0.500 0.500 0.500
F 0.500 0.000 0.000
F 0.000 0.000 0.500
F 0.250 0.375 0.625
F 0.250 0.875 0.125
F 0.000 0.500 0.500
F 0.875 0.250 0.625
F 0.625 0.750 0.875
F 0.875 0.625 0.750
K 0.693 0.112 0.010
K 0.317 0.510 0.397
K 0.990 0.388 0.307
K 0.510 0.193 0.112
K 0.580 0.693 0.683
K 0.990 0.603 0.183
K 0.317 0.807 0.420
K 0.103 0.920 0.112
K 0.603 0.990 0.683
K 0.693 0.580 0.183
K 0.807 0.490 0.388
K 0.817 0.897 0.010
K 0.112 0.693 0.510
K 0.388 0.397 0.080
K 0.080 0.897 0.388
K 0.420 0.112 0.603
K 0.080 0.183 0.193
K 0.490 0.683 0.103
K 0.817 0.920 0.307
K 0.112 0.420 0.103
K 0.388 0.990 0.807
K 0.603 0.612 0.420
K 0.897 0.817 0.510
K 0.807 0.317 0.920
K 0.397 0.388 0.580
K 0.103 0.183 0.490
K 0.193 0.683 0.080
K 0.183 0.080 0.693
K 0.612 0.010 0.193
K 0.888 0.580 0.897
K 0.510 0.317 0.897
K 0.580 0.888 0.397
K 0.920 0.817 0.807
K 0.920 0.103 0.612
K 0.888 0.307 0.490
K 0.183 0.103 0.990
K 0.612 0.603 0.920
K 0.397 0.010 0.317
K 0.307 0.420 0.817
K 0.193 0.510 0.612
K 0.897 0.080 0.888
K 0.683 0.193 0.580
K 0.490 0.807 0.888
K 0.010 0.397 0.817
K 0.420 0.307 0.317
K 0.010 0.612 0.693
K 0.683 0.490 0.603
K 0.307 0.888 0.990
! **Crystal system**: cubic
! **E**: -2.5094 eV/atom
! **Space-group type**: No. 230
! **Total moment**: 0.10 μB/cell
! **DOS at the Fermi energy**: 0.565 states/eV/atom

***

Record 3
! KZn3F9 GGA-PBE relaxed; values from VASP
&SYSTEM
  ibrav = 0, nat = 13, ntyp = 3
/
ATOMIC_SPECIES
K 39.10 K.upf
Zn 65.41 Zn.upf
F 19.00 F.upf
CELL_PARAMETERS angstrom
3.912 0.000 0.000
0.000 6.473 -3.737
0.000 0.000 7.475
ATOMIC_POSITIONS crystal
K 0.000 0.000 0.000
Zn 0.500 0.000 0.500
Zn 0.500 0.500 0.000
Zn 0.500 0.500 0.500
F 0.000 0.000 0.500
F 0.500 0.200 0.400
F 0.500 0.200 0.800
F 0.500 0.600 0.800
F 0.000 0.500 0.000
F 0.500 0.400 0.200
F 0.000 0.500 0.500
F 0.500 0.800 0.200
F 0.500 0.800 0.600
! **Crystal system**: hexagonal
! **E**: -3.7147 eV/atom
! **Space-group type**: No. 191
! **Total moment**: 0.01 μB/cell
! **DOS at the Fermi energy**: 0.537 states/eV/atom

***

Record 4
! KZnF2 GGA-PBE relaxed; values from VASP
&SYSTEM
  ibrav = 0, nat = 4, ntyp = 3
/
ATOMIC_SPECIES
Zn 65.41 Zn.upf
K 39.10 K.upf
F 19.00 F.upf
CELL_PARAMETERS angstrom
2.071 0.000 6.984
-1.035 1.793 6.984
-1.035 -1.793 6.984
ATOMIC_POSITIONS crystal
Zn 0.500 0.500 0.500
K 0.000 0.000 0.000
F 0.880 0.880 0.880
F 0.120 0.120 0.120
! **Crystal system**: trigonal
! **E**: -3.1634 eV/atom
! **Space-group type**: No. 166
! **Total moment**: 0.00 μB/cell
! **DOS at the Fermi energy**: 0.230 states/eV/atom
! **Energy relative to the lowest polymorph listed for this composition**: 0.306 eV per atom

***

Record 5
! KZnF3 GGA-PBE relaxed; values from VASP
&SYSTEM
  ibrav = 0, nat = 10, ntyp = 3
/
ATOMIC_SPECIES
Zn 65.41 Zn.upf
K 39.10 K.upf
F 19.00 F.upf
CELL_PARAMETERS angstrom
3.288 -1.899 0.000
0.000 3.797 0.000
0.000 0.000 13.319
ATOMIC_POSITIONS crystal
Zn 0.333 0.667 0.750
Zn 0.667 0.333 0.250
K 0.000 0.000 0.000
K 0.000 0.000 0.500
F 0.000 0.000 0.250
F 0.000 0.000 0.750
F 0.333 0.667 0.892
F 0.333 0.667 0.608
F 0.667 0.333 0.392
F 0.667 0.333 0.108
! **Crystal system**: hexagonal
! **E**: -4.0865 eV/atom
! **Space-group type**: No. 194
! **Total moment**: 0.00 μB/cell
! **DOS at the Fermi energy**: 0.000 states/eV/atom

***

Record 6
! KZn3F GGA-PBE relaxed; values from VASP
&SYSTEM
  ibrav = 0, nat = 5, ntyp = 3
/
ATOMIC_SPECIES
Zn 65.41 Zn.upf
K 39.10 K.upf
F 19.00 F.upf
CELL_PARAMETERS angstrom
-0.502 4.354 -2.614
-3.859 -2.034 -2.648
-3.301 1.716 3.492
ATOMIC_POSITIONS crystal
Zn 0.000 0.500 0.000
Zn 0.000 0.000 0.500
Zn 0.500 0.000 0.000
K 0.500 0.500 0.500
F 0.000 0.000 0.000
! **Crystal system**: cubic
! **E**: -1.5789 eV/atom
! **Space-group type**: No. 221
! **Total moment**: 0.00 μB/cell
! **DOS at the Fermi energy**: 0.045 states/eV/atom
! **Energy relative to the lowest polymorph listed for this composition**: 0.000 eV per atom

***

Record 7
! KZnF3 GGA-PBE relaxed; values from VASP
&SYSTEM
  ibrav = 0, nat = 20, ntyp = 3
/
ATOMIC_SPECIES
Zn 65.41 Zn.upf
K 39.10 K.upf
F 19.00 F.upf
CELL_PARAMETERS angstrom
12.905 0.000 0.152
5.296 4.478 -2.452
-5.296 4.478 2.452
ATOMIC_POSITIONS crystal
Zn 0.249 0.317 0.370
Zn 0.251 0.870 0.817
Zn 0.751 0.683 0.630
Zn 0.749 0.130 0.183
K 0.750 0.210 0.710
K 0.250 0.790 0.290
K 0.750 0.613 0.113
K 0.250 0.387 0.887
F 0.495 0.172 0.452
F 0.005 0.952 0.672
F 0.505 0.828 0.548
F 0.995 0.048 0.328
F 0.002 0.333 0.046
F 0.498 0.546 0.833
F 0.998 0.667 0.954
F 0.502 0.454 0.167
F 0.500 0.161 0.838
F 0.000 0.338 0.661
F 0.500 0.839 0.162
F 0.000 0.662 0.339
! **Crystal system**: monoclinic
! **E**: -4.0314 eV/atom
! **Space-group type**: No. 15
! **Total moment**: 0.00 μB/cell
! **DOS at the Fermi energy**: 0.000 states/eV/atom

***

Record 8
! K3ZnF4 GGA-PBE relaxed; values from VASP
&SYSTEM
  ibrav = 0, nat = 16, ntyp = 3
/
ATOMIC_SPECIES
K 39.10 K.upf
Zn 65.41 Zn.upf
F 19.00 F.upf
CELL_PARAMETERS angstrom
-5.451 0.324 0.144
-0.295 -2.921 -4.602
-0.372 -8.706 5.550
ATOMIC_POSITIONS crystal
K 0.554 0.761 0.000
K 0.047 0.746 0.250
K 0.547 0.254 0.250
K 0.054 0.239 0.500
K 0.547 0.254 0.750
K 0.047 0.746 0.750
Zn 0.040 0.241 0.000
Zn 0.540 0.759 0.500
F 0.062 0.869 0.000
F 0.670 0.269 0.000
F 0.047 0.246 0.239
F 0.547 0.754 0.261
F 0.170 0.731 0.500
F 0.562 0.131 0.500
F 0.547 0.754 0.739
F 0.047 0.246 0.761
! **Crystal system**: orthorhombic
! **E**: -3.8173 eV/atom
! **Space-group type**: No. 31
! **Total moment**: 1.46 μB/cell
! **DOS at the Fermi energy**: 0.165 states/eV/atom

***

Record 9
! K2Zn3F8 GGA-PBE relaxed; values from VASP
&SYSTEM
  ibrav = 0, nat = 13, ntyp = 3
/
ATOMIC_SPECIES
K 39.10 K.upf
Zn 65.41 Zn.upf
F 19.00 F.upf
CELL_PARAMETERS angstrom
4.029 0.000 0.000
0.000 4.029 0.000
0.000 0.000 12.530
ATOMIC_POSITIONS crystal
K 0.000 0.000 0.173
K 0.000 0.000 0.827
Zn 0.500 0.500 0.332
Zn 0.500 0.500 0.000
Zn 0.500 0.500 0.668
F 0.500 0.000 0.340
F 0.000 0.500 0.340
F 0.000 0.500 0.000
F 0.500 0.500 0.168
F 0.500 0.000 0.660
F 0.000 0.500 0.660
F 0.500 0.500 0.832
F 0.500 0.000 0.000
! **Crystal system**: tetragonal
! **E**: -4.0516 eV/atom
! **Space-group type**: No. 123
! **Total moment**: 0.00 μB/cell
! **DOS at the Fermi energy**: 0.000 states/eV/atom
! **Energy relative to the lowest polymorph listed for this composition**: 0.058 eV per atom

***

Record 10
! KZn5F11 GGA-PBE relaxed; values from VASP
&SYSTEM
  ibrav = 0, nat = 17, ntyp = 3
/
ATOMIC_SPECIES
K 39.10 K.upf
Zn 65.41 Zn.upf
F 19.00 F.upf
CELL_PARAMETERS angstrom
6.927 1.237 -1.371
-2.711 5.618 -1.883
0.088 -0.807 6.465
ATOMIC_POSITIONS crystal
K 0.000 0.000 0.000
Zn 0.645 0.065 0.367
Zn 0.355 0.935 0.633
Zn 0.355 0.633 0.935
Zn 0.645 0.367 0.065
Zn 0.000 0.500 0.500
F 0.324 0.595 0.595
F 0.676 0.405 0.405
F 0.641 0.125 0.701
F 0.359 0.875 0.299
F 0.359 0.299 0.875
F 0.641 0.701 0.125
F 0.500 0.000 0.000
F 0.068 0.847 0.591
F 0.932 0.153 0.409
F 0.932 0.409 0.153
F 0.068 0.591 0.847
! **Crystal system**: monoclinic
! **E**: -3.9551 eV/atom
! **Space-group type**: No. 12
! **Total moment**: 0.00 μB/cell
! **DOS at the Fermi energy**: 0.000 states/eV/atom

***

Record 11
! KZnF3 GGA-PBE relaxed; values from VASP
&SYSTEM
  ibrav = 0, nat = 5, ntyp = 3
/
ATOMIC_SPECIES
Zn 65.41 Zn.upf
K 39.10 K.upf
F 19.00 F.upf
CELL_PARAMETERS angstrom
-0.148 3.125 1.970
-3.633 -0.480 0.489
1.173 -3.360 5.418
ATOMIC_POSITIONS crystal
Zn 0.500 0.500 0.542
K 0.000 0.000 0.135
F 0.000 0.000 0.763
F 0.500 0.000 0.412
F 0.000 0.500 0.412
! **Crystal system**: tetragonal
! **E**: -3.7073 eV/atom
! **Space-group type**: No. 99
! **Total moment**: 0.00 μB/cell
! **DOS at the Fermi energy**: 0.000 states/eV/atom

***

Record 12
! K2ZnF4 GGA-PBE relaxed; values from VASP
&SYSTEM
  ibrav = 0, nat = 7, ntyp = 3
/
ATOMIC_SPECIES
Zn 65.41 Zn.upf
K 39.10 K.upf
F 19.00 F.upf
CELL_PARAMETERS angstrom
-2.331 -2.886 -1.831
3.416 -1.884 -1.379
0.748 -6.049 3.911
ATOMIC_POSITIONS crystal
Zn 0.000 0.000 0.000
K 0.354 0.354 0.291
K 0.646 0.646 0.709
F 0.155 0.155 0.690
F 0.845 0.845 0.310
F 0.000 0.500 0.000
F 0.500 0.000 0.000
! **Crystal system**: tetragonal
! **E**: -4.1902 eV/atom
! **Space-group type**: No. 139
! **Total moment**: 0.00 μB/cell
! **DOS at the Fermi energy**: 0.000 states/eV/atom
! **Energy relative to the lowest polymorph listed for this composition**: 0.000 eV per atom

***

What did the ninth record say?
! K2Zn3F8 GGA-PBE relaxed; values from VASP
&SYSTEM
  ibrav = 0, nat = 13, ntyp = 3
/
ATOMIC_SPECIES
K 39.10 K.upf
Zn 65.41 Zn.upf
F 19.00 F.upf
CELL_PARAMETERS angstrom
4.029 0.000 0.000
0.000 4.029 0.000
0.000 0.000 12.530
ATOMIC_POSITIONS crystal
K 0.000 0.000 0.173
K 0.000 0.000 0.827
Zn 0.500 0.500 0.332
Zn 0.500 0.500 0.000
Zn 0.500 0.500 0.668
F 0.500 0.000 0.340
F 0.000 0.500 0.340
F 0.000 0.500 0.000
F 0.500 0.500 0.168
F 0.500 0.000 0.660
F 0.000 0.500 0.660
F 0.500 0.500 0.832
F 0.500 0.000 0.000
! **Crystal system**: tetragonal
! **E**: -4.0516 eV/atom
! **Space-group type**: No. 123
! **Total moment**: 0.00 μB/cell
! **DOS at the Fermi energy**: 0.000 states/eV/atom
! **Energy relative to the lowest polymorph listed for this composition**: 0.058 eV per atom

***

Look up the E of the seventh one. -4.0314 eV/atom